Arrangement i

{"formula": "NaCo2BHIr", "functional": "PBE", "state": "relaxed", "lattice": [[-1.328, 2.660, 4.386], [1.328, -2.660, 4.386], [1.328, 2.660, -4.386]], "species": ["Na", "Co", "Co", "B", "H", "Ir"], "fractional_positions": [[0.000, 0.000, 0.000], [0.513, 0.253, 0.260], [0.993, 0.253, 0.740], [0.331, 0.831, 0.500], [0.749, 0.749, 0.000], [0.527, 0.527, 0.000]], "vol_a3_per_cell": 62.0, "mass_density_g_cm3": 9.2, "crystal_system": "orthorhombic"}

=====

Arrangement ii

{"formula": "NaCo2BHIr", "functional": "PBE", "state": "relaxed", "lattice": [[5.140, -1.327, 0.000], [5.140, 1.327, 0.000], [-2.701, 0.000, 4.646]], "species": ["Na", "Co", "Co", "B", "H", "Ir"], "fractional_positions": [[0.000, 0.000, 0.000], [0.263, 0.263, 0.009], [0.535, 0.535, 0.526], [0.855, 0.855, 0.349], [0.646, 0.646, 0.886], [0.257, 0.257, 0.525]], "vol_a3_per_cell": 63.4, "mass_density_g_cm3": 9.0, "crystal_system": "monoclinic"}

=====

Bottom line: arrangement i, by a margin of 3.3 kJ/mol of atoms.

=====

Arrangement i

{"formula": "Hf2CoB", "functional": "PBE", "state": "relaxed", "lattice": [[-3.216, 3.216, 3.131], [3.216, -3.216, 3.131], [3.216, 3.216, -3.131]], "species": ["Hf", "Hf", "Hf", "Hf", "Co", "Co", "B", "B"], "fractional_positions": [[0.104, 0.625, 0.979], [0.375, 0.354, 0.479], [0.646, 0.125, 0.021], [0.875, 0.896, 0.521], [0.250, 0.750, 0.500], [0.500, 0.500, 0.000], [0.000, 0.000, 0.000], [0.750, 0.250, 0.500]], "vol_a3_per_cell": 129.6, "mass_density_g_cm3": 10.9, "crystal_system": "tetragonal"}

=====

Arrangement ii

{"formula": "Hf2CoB", "functional": "PBE", "state": "relaxed", "lattice": [[5.093, 0.000, 0.000], [0.000, 3.595, 0.000], [-2.276, 0.000, 6.436]], "species": ["Hf", "Hf", "Hf", "Hf", "Co", "Co", "B", "B"], "fractional_positions": [[0.214, 0.250, 0.423], [0.223, 0.250, 0.933], [0.777, 0.750, 0.067], [0.786, 0.750, 0.577], [0.369, 0.750, 0.220], [0.631, 0.250, 0.780], [0.344, 0.750, 0.706], [0.656, 0.250, 0.294]], "vol_a3_per_cell": 117.8, "mass_density_g_cm3": 12.0, "crystal_system": "monoclinic"}

=====

Bottom line: arrangement ii, by a margin of 62.8 kJ/mol of atoms.

=====

Arrangement i

{"formula": "CoHgB3", "functional": "PBE", "state": "relaxed", "lattice": [[4.310, 0.000, 0.000], [0.000, 4.310, 0.000], [0.000, 0.000, 4.310]], "species": ["Co", "Hg", "B", "B", "B"], "fractional_positions": [[0.000, 0.000, 0.000], [0.500, 0.500, 0.500], [0.000, 0.500, 0.500], [0.500, 0.000, 0.500], [0.500, 0.500, 0.000]], "vol_a3_per_cell": 80.0, "mass_density_g_cm3": 6.1, "crystal_system": "cubic"}

=====

Arrangement ii

{"formula": "CoHgB3", "functional": "PBE", "state": "relaxed", "lattice": [[3.919, 0.000, 0.000], [0.000, 3.919, 0.000], [0.000, 0.000, 3.919]], "species": ["Co", "Hg", "B", "B", "B"], "fractional_positions": [[0.000, 0.000, 0.000], [0.500, 0.500, 0.500], [0.000, 0.000, 0.500], [0.000, 0.500, 0.000], [0.500, 0.000, 0.000]], "vol_a3_per_cell": 60.2, "mass_density_g_cm3": 8.1, "crystal_system": "cubic"}

=====

Bottom line: arrangement ii, by a margin of 158.8 kJ/mol of atoms.

=====

Arrangement i

{"formula": "HoCo3B2", "functional": "PBE", "state": "relaxed", "lattice": [[8.348, 0.000, 0.000], [-4.174, 7.230, 0.000], [0.000, 0.000, 3.305]], "species": ["Ho", "Ho", "Ho", "Co", "Co", "Co", "Co", "Co", "Co", "Co", "Co", "Co", "B", "B", "B", "B", "B", "B"], "fractional_positions": [[0.000, 0.000, 0.000], [0.333, 0.667, 0.500], [0.667, 0.333, 0.500], [0.000, 0.286, 0.500], [0.000, 0.500, 0.000], [0.000, 0.714, 0.500], [0.286, 0.000, 0.500], [0.286, 0.286, 0.500], [0.500, 0.000, 0.000], [0.500, 0.500, 0.000], [0.714, 0.000, 0.500], [0.714, 0.714, 0.500], [0.188, 0.376, 0.000], [0.188, 0.812, 0.000], [0.376, 0.188, 0.000], [0.624, 0.812, 0.000], [0.812, 0.188, 0.000], [0.812, 0.624, 0.000]], "vol_a3_per_cell": 199.5, "mass_density_g_cm3": 9.1, "crystal_system": "hexagonal"}

=====

Arrangement ii

{"formula": "HoCo3B2", "functional": "PBE", "state": "relaxed", "lattice": [[4.982, 0.000, 0.000], [-2.491, 4.315, 0.000], [0.000, 0.000, 3.020]], "species": ["Ho", "Co", "Co", "Co", "B", "B"], "fractional_positions": [[0.000, 0.000, 0.000], [0.000, 0.500, 0.500], [0.500, 0.000, 0.500], [0.500, 0.500, 0.500], [0.333, 0.667, 0.000], [0.667, 0.333, 0.000]], "vol_a3_per_cell": 64.9, "mass_density_g_cm3": 9.3, "crystal_system": "hexagonal"}

=====

Arrangement iii

{"formula": "HoCo3B2", "functional": "PBE", "state": "relaxed", "lattice": [[4.089, -3.396, 0.000], [4.089, 3.396, 0.000], [0.000, 0.000, 4.829]], "species": ["Ho", "Ho", "Co", "Co", "Co", "Co", "Co", "Co", "B", "B", "B", "B"], "fractional_positions": [[0.151, 0.849, 0.750], [0.849, 0.151, 0.250], [0.002, 0.583, 0.250], [0.417, 0.998, 0.250], [0.459, 0.541, 0.250], [0.541, 0.459, 0.750], [0.583, 0.002, 0.750], [0.998, 0.417, 0.750], [0.291, 0.291, 0.000], [0.291, 0.291, 0.500], [0.709, 0.709, 0.000], [0.709, 0.709, 0.500]], "vol_a3_per_cell": 134.1, "mass_density_g_cm3": 9.0, "crystal_system": "orthorhombic"}

=====

Bottom line: arrangement ii, by a margin of 18.7 kJ/mol of atoms.

=====

Arrangement i

{"formula": "CoB3I", "functional": "PBE", "state": "relaxed", "lattice": [[4.376, 0.000, 0.000], [0.000, 4.376, 0.000], [0.000, 0.000, 4.376]], "species": ["Co", "B", "B", "B", "I"], "fractional_positions": [[0.000, 0.000, 0.000], [0.000, 0.500, 0.500], [0.500, 0.000, 0.500], [0.500, 0.500, 0.000], [0.500, 0.500, 0.500]], "vol_a3_per_cell": 83.8, "mass_density_g_cm3": 4.3, "crystal_system": "cubic"}

=====

Arrangement ii

{"formula": "CoB3I", "functional": "PBE", "state": "relaxed", "lattice": [[4.044, 0.000, 0.000], [0.000, 4.044, 0.000], [0.000, 0.000, 4.044]], "species": ["Co", "B", "B", "B", "I"], "fractional_positions": [[0.000, 0.000, 0.000], [0.000, 0.000, 0.500], [0.000, 0.500, 0.000], [0.500, 0.000, 0.000], [0.500, 0.500, 0.500]], "vol_a3_per_cell": 66.2, "mass_density_g_cm3": 5.5, "crystal_system": "cubic"}

=====

Bottom line: arrangement ii, by a margin of 160.6 kJ/mol of atoms.

=====

Arrangement i

{"formula": "CoBI3", "functional": "PBE", "state": "relaxed", "lattice": [[5.113, 0.000, 0.000], [0.000, 5.113, 0.000], [0.000, 0.000, 5.113]], "species": ["Co", "B", "I", "I", "I"], "fractional_positions": [[0.000, 0.000, 0.000], [0.500, 0.500, 0.500], [0.000, 0.500, 0.500], [0.500, 0.000, 0.500], [0.500, 0.500, 0.000]], "vol_a3_per_cell": 133.7, "mass_density_g_cm3": 5.6, "crystal_system": "cubic"}

=====

Arrangement ii

{"formula": "CoBI3", "functional": "PBE", "state": "relaxed", "lattice": [[5.320, 0.000, 0.000], [0.000, 5.320, 0.000], [0.000, 0.000, 5.320]], "species": ["Co", "B", "I", "I", "I"], "fractional_positions": [[0.000, 0.000, 0.000], [0.500, 0.500, 0.500], [0.000, 0.000, 0.500], [0.000, 0.500, 0.000], [0.500, 0.000, 0.000]], "vol_a3_per_cell": 150.5, "mass_density_g_cm3": 5.0, "crystal_system": "cubic"}

=====

Bottom line: arrangement ii, by a margin of 7.6 kJ/mol of atoms.

=====

Arrangement i

{"formula": "CoBTeI2", "functional": "PBE", "state": "relaxed", "lattice": [[4.999, 0.000, 0.000], [0.000, 4.999, 0.000], [0.000, 0.000, 4.993]], "species": ["Co", "B", "Te", "I", "I"], "fractional_positions": [[0.000, 0.000, 0.000], [0.500, 0.500, 0.500], [0.500, 0.500, 0.000], [0.000, 0.500, 0.500], [0.500, 0.000, 0.500]], "vol_a3_per_cell": 124.8, "mass_density_g_cm3": 6.0, "crystal_system": "tetragonal"}

=====

Arrangement ii

{"formula": "CoBTeI2", "functional": "PBE", "state": "relaxed", "lattice": [[5.409, 0.000, 0.000], [0.000, 5.409, 0.000], [0.000, 0.000, 4.806]], "species": ["Co", "B", "Te", "I", "I"], "fractional_positions": [[0.000, 0.000, 0.000], [0.500, 0.500, 0.500], [0.000, 0.000, 0.500], [0.000, 0.500, 0.000], [0.500, 0.000, 0.000]], "vol_a3_per_cell": 140.6, "mass_density_g_cm3": 5.3, "crystal_system": "tetragonal"}

=====

Bottom line: arrangement ii, by a margin of 5.4 kJ/mol of atoms.

=====

Arrangement i

{"formula": "InCoB3", "functional": "PBE", "state": "relaxed", "lattice": [[3.934, 0.000, 0.000], [0.000, 3.934, 0.000], [0.000, 0.000, 3.934]], "species": ["In", "Co", "B", "B", "B"], "fractional_positions": [[0.000, 0.000, 0.000], [0.500, 0.500, 0.500], [0.000, 0.500, 0.500], [0.500, 0.000, 0.500], [0.500, 0.500, 0.000]], "vol_a3_per_cell": 60.9, "mass_density_g_cm3": 5.6, "crystal_system": "cubic"}

=====

Arrangement ii

{"formula": "InCoB3", "functional": "PBE", "state": "relaxed", "lattice": [[4.410, 0.000, 0.000], [0.000, 4.410, 0.000], [0.000, 0.000, 4.410]], "species": ["In", "Co", "B", "B", "B"], "fractional_positions": [[0.000, 0.000, 0.000], [0.500, 0.500, 0.500], [0.000, 0.000, 0.500], [0.000, 0.500, 0.000], [0.500, 0.000, 0.000]], "vol_a3_per_cell": 85.8, "mass_density_g_cm3": 4.0, "crystal_system": "cubic"}

=====

Bottom line: arrangement i, by a margin of 165.7 kJ/mol of atoms.

=====

Arrangement i

{"formula": "In3CoB", "functional": "PBE", "state": "relaxed", "lattice": [[4.656, 0.000, 0.000], [0.000, 4.656, 0.000], [0.000, 0.000, 4.656]], "species": ["In", "In", "In", "Co", "B"], "fractional_positions": [[0.000, 0.000, 0.500], [0.000, 0.500, 0.000], [0.500, 0.000, 0.000], [0.500, 0.500, 0.500], [0.000, 0.000, 0.000]], "vol_a3_per_cell": 100.9, "mass_density_g_cm3": 6.8, "crystal_system": "cubic"}

=====

Arrangement ii

{"formula": "In3CoB", "functional": "PBE", "state": "relaxed", "lattice": [[4.885, 0.000, 0.000], [0.000, 4.885, 0.000], [0.000, 0.000, 4.885]], "species": ["In", "In", "In", "Co", "B"], "fractional_positions": [[0.000, 0.000, 0.500], [0.000, 0.500, 0.000], [0.500, 0.000, 0.000], [0.000, 0.000, 0.000], [0.500, 0.500, 0.500]], "vol_a3_per_cell": 116.6, "mass_density_g_cm3": 5.9, "crystal_system": "cubic"}

=====

Bottom line: arrangement ii, by a margin of 8.5 kJ/mol of atoms.

=====

Arrangement i

{"formula": "InCoNiB", "functional": "PBE", "state": "relaxed", "lattice": [[2.830, 0.000, 0.000], [0.000, 1.397, 6.058], [0.000, -1.397, 6.058]], "species": ["In", "Co", "Ni", "B"], "fractional_positions": [[0.000, 0.000, 0.000], [0.500, 0.333, 0.333], [0.500, 0.657, 0.657], [0.000, 0.775, 0.775]], "vol_a3_per_cell": 47.9, "mass_density_g_cm3": 8.4, "crystal_system": "orthorhombic"}

=====

Arrangement ii

{"formula": "InCoNiB", "functional": "PBE", "state": "relaxed", "lattice": [[1.545, 0.892, 6.078], [-1.545, 0.892, 6.078], [0.000, -1.784, 6.078]], "species": ["In", "Co", "Ni", "B"], "fractional_positions": [[0.000, 0.000, 0.000], [0.217, 0.217, 0.217], [0.783, 0.783, 0.783], [0.504, 0.504, 0.504]], "vol_a3_per_cell": 50.3, "mass_density_g_cm3": 8.0, "crystal_system": "trigonal"}

=====

Arrangement iii

{"formula": "InCoNiB", "functional": "PBE", "state": "relaxed", "lattice": [[3.091, 0.000, 0.000], [-1.545, 2.677, 0.000], [0.000, 0.000, 6.059]], "species": ["In", "Co", "Ni", "B"], "fractional_positions": [[0.000, 0.000, 0.000], [0.667, 0.333, 0.346], [0.333, 0.667, 0.652], [0.000, 0.000, 0.490]], "vol_a3_per_cell": 50.1, "mass_density_g_cm3": 8.1, "crystal_system": "trigonal"}

=====

Arrangement iv

{"formula": "InCoNiB", "functional": "PBE", "state": "relaxed", "lattice": [[2.882, 0.000, 0.000], [0.000, 3.975, 0.000], [0.000, 0.000, 4.965]], "species": ["In", "Co", "Ni", "B"], "fractional_positions": [[0.000, 0.000, 0.000], [0.500, 0.500, 0.779], [0.500, 0.500, 0.270], [0.000, 0.500, 0.530]], "vol_a3_per_cell": 56.9, "mass_density_g_cm3": 7.1, "crystal_system": "orthorhombic"}

=====

Bottom line: arrangement ii, by a margin of 1.6 kJ/mol of atoms.

=====

Arrangement i

{"formula": "Co2BIr2", "functional": "PBE", "state": "relaxed", "lattice": [[-1.747, 1.747, 5.780], [1.747, -1.747, 5.780], [1.747, 1.747, -5.780]], "species": ["Co", "Co", "B", "Ir", "Ir"], "fractional_positions": [[0.094, 0.094, 0.000], [0.906, 0.906, 0.000], [0.500, 0.500, 0.000], [0.250, 0.750, 0.500], [0.750, 0.250, 0.500]], "vol_a3_per_cell": 70.6, "mass_density_g_cm3": 12.1, "crystal_system": "tetragonal"}

=====

Arrangement ii

{"formula": "Co2BIr2", "functional": "PBE", "state": "relaxed", "lattice": [[5.221, 0.000, 0.000], [0.000, 5.221, 0.000], [0.000, 0.000, 4.252]], "species": ["Co", "Co", "Co", "Co", "B", "B", "Ir", "Ir", "Ir", "Ir"], "fractional_positions": [[0.155, 0.345, 0.000], [0.345, 0.845, 0.000], [0.655, 0.155, 0.000], [0.845, 0.655, 0.000], [0.000, 0.000, 0.000], [0.500, 0.500, 0.000], [0.173, 0.673, 0.500], [0.327, 0.173, 0.500], [0.673, 0.827, 0.500], [0.827, 0.327, 0.500]], "vol_a3_per_cell": 115.9, "mass_density_g_cm3": 14.7, "crystal_system": "tetragonal"}

=====

Bottom line: arrangement ii, by a margin of 100.0 kJ/mol of atoms.